The following is a GGA-PBE calculation of Hf2Al3Co4 after structural relaxation, from the Alexandria database.

Calculated values
- E_form (eV/atom) = -0.454
- electronic total energy (eV/f.u.) = -63.6
- D(E_F) (states/eV/atom) = 0.878
- symmetry = Cmce (64)
- magnetic moment (Bohr magnetons per cell) = 0.0
- volume (Å³ per atom) = 14.14

extended XYZ file:
```
18
Lattice="-3.261 3.049 2.632 2.968 -1.814 5.780 6.295 4.027 -1.968" Properties=species:S:1:pos:R:3 pbc="T T T"
Hf 2.695 0.056 3.275
Hf 3.306 5.206 3.169
Hf 3.984 4.264 -0.003
Hf 2.018 0.998 6.446
Al 0.000 0.000 0.000
Al -0.146 0.617 4.206
Al 3.890 2.352 4.646
Al 0.482 4.434 3.113
Al 2.112 2.910 1.797
Al 5.520 0.827 3.330
Co 5.431 4.186 4.430
Co -1.060 2.600 3.329
Co 0.571 1.075 2.013
Co 7.061 2.662 3.114
Co 4.481 0.092 5.445
Co 1.521 5.169 0.998
Co 4.518 2.809 2.343
Co 1.484 2.452 4.100
```